(1)
# PBEsol Y3Ga8Rh3, relaxed
data_Y3Ga8Rh3
_chemical_formula_sum 'Y3 Ga8 Rh3'
_cell_length_a 8.045
_cell_length_b 8.045
_cell_length_c 8.045
_cell_angle_alpha 150.21
_cell_angle_beta 106.45
_cell_angle_gamma 81.31
_symmetry_space_group_name_H-M 'P 1'
_symmetry_Int_Tables_number 1
_symmetry_space_group_name_Hall 'P 1'
loop_
_atom_site_label
_atom_site_fract_x
_atom_site_fract_y
_atom_site_fract_z
Y1 0.000 0.000 0.000
Y2 0.327 0.327 0.000
Y3 0.673 0.673 0.000
Ga1 0.039 0.670 0.369
Ga2 0.160 0.877 0.283
Ga3 0.301 0.670 0.631
Ga4 0.406 0.123 0.283
Ga5 0.594 0.877 0.717
Ga6 0.699 0.330 0.369
Ga7 0.840 0.123 0.717
Ga8 0.961 0.330 0.631
Rh1 0.279 0.500 0.779
Rh2 0.500 0.000 0.500
Rh3 0.721 0.500 0.221
# Space group = Immm (71)
# Energy of formation = -0.7589 eV/atom
# Calculated volume = 17.365 A^3/atom
# D(E_F) = 7.5 states/eV/f.u.

---

(2)
# PBEsol TiAu3Br, relaxed
data_TiAu3Br
_chemical_formula_sum 'Ti1 Au3 Br1'
_cell_length_a 4.926
_cell_length_b 4.926
_cell_length_c 4.926
_cell_angle_alpha 90.00
_cell_angle_beta 90.00
_cell_angle_gamma 90.00
_symmetry_space_group_name_H-M 'P 1'
_symmetry_Int_Tables_number 1
_symmetry_space_group_name_Hall 'P 1'
loop_
_atom_site_label
_atom_site_fract_x
_atom_site_fract_y
_atom_site_fract_z
Ti1 0.000 0.000 0.000
Au1 0.000 0.500 0.500
Au2 0.500 0.000 0.500
Au3 0.500 0.500 0.000
Br1 0.500 0.500 0.500
# Space group = Pm-3m (221)
# Raw formation energy = 1.2456 eV per atom
# Excess energy over the best structure of this formula in the dataset = 415 meV/atom
# Calculated volume = 23.912 A^3/atom
# D(E_F) = 5.8 states/eV/f.u.

---

(3)
# PBEsol Ca5Cu2Ir2O12, relaxed
data_Ca5Cu2Ir2O12
_chemical_formula_sum 'Ca5 Cu2 Ir2 O12'
_cell_length_a 6.413
_cell_length_b 6.417
_cell_length_c 6.445
_cell_angle_alpha 92.66
_cell_angle_beta 91.00
_cell_angle_gamma 90.27
_symmetry_space_group_name_H-M 'P 1'
_symmetry_Int_Tables_number 1
_symmetry_space_group_name_Hall 'P 1'
loop_
_atom_site_label
_atom_site_fract_x
_atom_site_fract_y
_atom_site_fract_z
Ca1 0.000 0.000 0.000
Ca2 0.118 0.504 0.861
Ca3 0.262 0.365 0.386
Ca4 0.502 0.855 0.164
Ca5 0.631 0.688 0.661
Cu1 0.117 0.930 0.459
Cu2 0.637 0.295 0.101
Ir1 0.388 0.109 0.774
Ir2 0.884 0.614 0.264
O1 0.096 0.146 0.675
O2 0.170 0.722 0.224
O3 0.317 0.821 0.843
O4 0.343 0.207 0.071
O5 0.408 0.001 0.483
O6 0.433 0.397 0.707
O7 0.587 0.524 0.305
O8 0.667 0.071 0.900
O9 0.810 0.682 0.974
O10 0.834 0.904 0.353
O11 0.933 0.326 0.149
O12 0.968 0.559 0.545
# Space group = P1 (1)
# Raw formation energy = -1.7620 eV per atom
# Calculated volume = 12.613 A^3/atom
# D(E_F) = 8.9 states/eV/f.u.

---

(4)
# PBEsol YTcSe2, relaxed
data_YTcSe2
_chemical_formula_sum 'Y1 Tc1 Se2'
_cell_length_a 4.622
_cell_length_b 4.622
_cell_length_c 3.304
_cell_angle_alpha 90.00
_cell_angle_beta 90.00
_cell_angle_gamma 90.00
_symmetry_space_group_name_H-M 'P 1'
_symmetry_Int_Tables_number 1
_symmetry_space_group_name_Hall 'P 1'
loop_
_atom_site_label
_atom_site_fract_x
_atom_site_fract_y
_atom_site_fract_z
Y1 0.000 0.000 0.000
Tc1 0.500 0.500 0.000
Se1 0.000 0.500 0.500
Se2 0.500 0.000 0.500
# Space group = P4/mmm (123)
# Raw formation energy = -0.6858 eV per atom
# Excess energy over the best structure of this formula in the dataset = 0 meV/atom
# Calculated volume = 17.644 A^3/atom
# D(E_F) = 3.5 states/eV/f.u.

---

(5)
# PBEsol WN2F2, relaxed
data_WN2F2
_chemical_formula_sum 'W1 N2 F2'
_cell_length_a 4.036
_cell_length_b 4.036
_cell_length_c 3.824
_cell_angle_alpha 90.00
_cell_angle_beta 90.00
_cell_angle_gamma 90.00
_symmetry_space_group_name_H-M 'P 1'
_symmetry_Int_Tables_number 1
_symmetry_space_group_name_Hall 'P 1'
loop_
_atom_site_label
_atom_site_fract_x
_atom_site_fract_y
_atom_site_fract_z
W1 0.000 0.000 0.000
N1 0.000 0.000 0.500
N2 0.500 0.500 0.500
F1 0.000 0.500 0.000
F2 0.500 0.000 0.000
# Space group = P4/mmm (123)
# Raw formation energy = 0.0220 eV per atom
# Calculated volume = 12.455 A^3/atom
# D(E_F) = 1.8 states/eV/f.u.

---

(6)
# PBEsol CaCu4As2, relaxed
data_CaCu4As2
_chemical_formula_sum 'Ca1 Cu4 As2'
_cell_length_a 7.815
_cell_length_b 7.815
_cell_length_c 7.815
_cell_angle_alpha 30.34
_cell_angle_beta 30.34
_cell_angle_gamma 30.34
_symmetry_space_group_name_H-M 'P 1'
_symmetry_Int_Tables_number 1
_symmetry_space_group_name_Hall 'P 1'
loop_
_atom_site_label
_atom_site_fract_x
_atom_site_fract_y
_atom_site_fract_z
Ca1 0.000 0.000 0.000
Cu1 0.145 0.145 0.145
Cu2 0.439 0.439 0.439
Cu3 0.561 0.561 0.561
Cu4 0.855 0.855 0.855
As1 0.253 0.253 0.253
As2 0.747 0.747 0.747
# Space group = R-3m (166)
# Energy of formation = -0.3607 eV/atom
# Calculated volume = 15.418 A^3/atom
# D(E_F) = 1.8 states/eV/f.u.

---

(7)
# PBEsol GaAsC2, relaxed
data_GaAsC2
_chemical_formula_sum 'Ga4 As4 C8'
_cell_length_a 5.619
_cell_length_b 5.619
_cell_length_c 5.619
_cell_angle_alpha 90.00
_cell_angle_beta 90.00
_cell_angle_gamma 90.00
_symmetry_space_group_name_H-M 'P 1'
_symmetry_Int_Tables_number 1
_symmetry_space_group_name_Hall 'P 1'
loop_
_atom_site_label
_atom_site_fract_x
_atom_site_fract_y
_atom_site_fract_z
Ga1 0.000 0.000 0.000
Ga2 0.000 0.500 0.500
Ga3 0.500 0.000 0.500
Ga4 0.500 0.500 0.000
As1 0.000 0.000 0.500
As2 0.000 0.500 0.000
As3 0.500 0.000 0.000
As4 0.500 0.500 0.500
C1 0.250 0.250 0.250
C2 0.250 0.250 0.750
C3 0.250 0.750 0.250
C4 0.250 0.750 0.750
C5 0.750 0.250 0.250
C6 0.750 0.250 0.750
C7 0.750 0.750 0.250
C8 0.750 0.750 0.750
# Space group = Fm-3m (225)
# Energy of formation = 2.0438 eV/atom
# Calculated volume = 11.088 A^3/atom
# D(E_F) = 1.8 states/eV/f.u.

---

(8)
# PBEsol Be2WBr, relaxed
data_Be2WBr
_chemical_formula_sum 'Be4 W2 Br2'
_cell_length_a 3.603
_cell_length_b 3.603
_cell_length_c 8.130
_cell_angle_alpha 90.00
_cell_angle_beta 90.00
_cell_angle_gamma 90.00
_symmetry_space_group_name_H-M 'P 1'
_symmetry_Int_Tables_number 1
_symmetry_space_group_name_Hall 'P 1'
loop_
_atom_site_label
_atom_site_fract_x
_atom_site_fract_y
_atom_site_fract_z
Be1 0.000 0.500 0.250
Be2 0.000 0.500 0.750
Be3 0.500 0.000 0.250
Be4 0.500 0.000 0.750
W1 0.000 0.000 0.000
W2 0.500 0.500 0.500
Br1 0.000 0.000 0.500
Br2 0.500 0.500 0.000
# Space group = I4/mmm (139)
# Raw formation energy = 1.1390 eV per atom
# Excess energy over the best structure of this formula in the dataset = 623 meV/atom
# Calculated volume = 13.189 A^3/atom
# D(E_F) = 3.3 states/eV/f.u.

---

(9)
# PBEsol TaHg3F, relaxed
data_TaHg3F
_chemical_formula_sum 'Ta1 Hg3 F1'
_cell_length_a 5.313
_cell_length_b 5.313
_cell_length_c 5.313
_cell_angle_alpha 90.00
_cell_angle_beta 90.00
_cell_angle_gamma 90.00
_symmetry_space_group_name_H-M 'P 1'
_symmetry_Int_Tables_number 1
_symmetry_space_group_name_Hall 'P 1'
loop_
_atom_site_label
_atom_site_fract_x
_atom_site_fract_y
_atom_site_fract_z
Ta1 0.000 0.000 0.000
Hg1 0.000 0.000 0.500
Hg2 0.000 0.500 0.000
Hg3 0.500 0.000 0.000
F1 0.500 0.500 0.500
# Space group = Pm-3m (221)
# Raw formation energy = 0.6781 eV per atom
# Calculated volume = 30.000 A^3/atom
# D(E_F) = 5.0 states/eV/f.u.

---

(10)
# PBEsol ReOsPt2, relaxed
data_ReOsPt2
_chemical_formula_sum 'Re1 Os1 Pt2'
_cell_length_a 2.743
_cell_length_b 2.743
_cell_length_c 7.795
_cell_angle_alpha 90.00
_cell_angle_beta 90.00
_cell_angle_gamma 90.00
_symmetry_space_group_name_H-M 'P 1'
_symmetry_Int_Tables_number 1
_symmetry_space_group_name_Hall 'P 1'
loop_
_atom_site_label
_atom_site_fract_x
_atom_site_fract_y
_atom_site_fract_z
Re1 0.000 0.000 0.000
Os1 0.500 0.500 0.227
Pt1 0.000 0.000 0.483
Pt2 0.500 0.500 0.750
# Space group = P4mm (99)
# Energy of formation = -0.0637 eV/atom
# Excess energy over the best structure of this formula in the dataset = 0 meV/atom
# Calculated volume = 14.658 A^3/atom
# D(E_F) = 3.5 states/eV/f.u.

---

(11)
# PBEsol TlCd3, relaxed
data_TlCd3
_chemical_formula_sum 'Tl2 Cd6'
_cell_length_a 3.096
_cell_length_b 10.710
_cell_length_c 5.556
_cell_angle_alpha 90.00
_cell_angle_beta 90.00
_cell_angle_gamma 90.00
_symmetry_space_group_name_H-M 'P 1'
_symmetry_Int_Tables_number 1
_symmetry_space_group_name_Hall 'P 1'
loop_
_atom_site_label
_atom_site_fract_x
_atom_site_fract_y
_atom_site_fract_z
Tl1 0.000 0.000 0.000
Tl2 0.500 0.500 0.500
Cd1 0.000 0.237 0.396
Cd2 0.000 0.500 0.009
Cd3 0.000 0.763 0.396
Cd4 0.500 0.000 0.509
Cd5 0.500 0.263 0.896
Cd6 0.500 0.737 0.896
# Space group = Imm2 (44)
# Energy of formation = 0.0632 eV/atom
# Calculated volume = 23.031 A^3/atom
# D(E_F) = 1.3 states/eV/f.u.

---

(12)
# PBEsol ZrSi, relaxed
data_ZrSi
_chemical_formula_sum 'Zr1 Si1'
_cell_length_a 3.279
_cell_length_b 3.279
_cell_length_c 3.279
_cell_angle_alpha 90.00
_cell_angle_beta 90.00
_cell_angle_gamma 90.00
_symmetry_space_group_name_H-M 'P 1'
_symmetry_Int_Tables_number 1
_symmetry_space_group_name_Hall 'P 1'
loop_
_atom_site_label
_atom_site_fract_x
_atom_site_fract_y
_atom_site_fract_z
Zr1 0.000 0.000 0.000
Si1 0.500 0.500 0.500
# Space group = Pm-3m (221)
# Raw formation energy = -0.4224 eV per atom
# Calculated volume = 17.620 A^3/atom
# D(E_F) = 3.1 states/eV/f.u.

---

(13)
# PBEsol NiAsIN2, relaxed
data_NiAsIN2
_chemical_formula_sum 'Ni1 As1 I1 N2'
_cell_length_a 3.624
_cell_length_b 3.624
_cell_length_c 6.746
_cell_angle_alpha 90.00
_cell_angle_beta 90.00
_cell_angle_gamma 90.00
_symmetry_space_group_name_H-M 'P 1'
_symmetry_Int_Tables_number 1
_symmetry_space_group_name_Hall 'P 1'
loop_
_atom_site_label
_atom_site_fract_x
_atom_site_fract_y
_atom_site_fract_z
Ni1 0.000 0.000 0.000
As1 0.500 0.500 0.500
I1 0.500 0.500 0.000
N1 0.000 0.500 0.500
N2 0.500 0.000 0.500
# Space group = P4/mmm (123)
# Raw formation energy = 1.3030 eV per atom
# Calculated volume = 17.722 A^3/atom
# D(E_F) = 6.1 states/eV/f.u.

---

(14)
# PBEsol Li3P, relaxed
data_Li3P
_chemical_formula_sum 'Li6 P2'
_cell_length_a 4.199
_cell_length_b 4.199
_cell_length_c 7.499
_cell_angle_alpha 90.00
_cell_angle_beta 90.00
_cell_angle_gamma 120.00
_symmetry_space_group_name_H-M 'P 1'
_symmetry_Int_Tables_number 1
_symmetry_space_group_name_Hall 'P 1'
loop_
_atom_site_label
_atom_site_fract_x
_atom_site_fract_y
_atom_site_fract_z
Li1 0.000 0.000 0.250
Li2 0.000 0.000 0.750
Li3 0.333 0.667 0.084
Li4 0.333 0.667 0.416
Li5 0.667 0.333 0.584
Li6 0.667 0.333 0.916
P1 0.333 0.667 0.750
P2 0.667 0.333 0.250
# Space group = P6_3/mmc (194)
# Energy of formation = -0.6975 eV/atom
# Calculated volume = 14.313 A^3/atom